Entry 1:
Here is a relaxed structure of PmCdIrPd from Alexandria via LeMat-Bulk. Energies are from PBE-GGA.

Output
Its total energy is -5.3722 eV per atom. The calculation puts the calculated formation energy at -442 meV/atom.

Structure (CIF):
```
data_PmCdIrPd
_chemical_formula_sum 'Pm4 Cd4 Ir4 Pd4'
_space_group_name_H-M_alt 'F -4 3 m'
_space_group_IT_number 216
_space_group_name_Hall 'F -4 2 3'
_cell_length_a 6.8249
_cell_length_b 6.8249
_cell_length_c 6.8249
_cell_angle_alpha 90.00
_cell_angle_beta 90.00
_cell_angle_gamma 90.00
loop_
_atom_site_label
_atom_site_fract_x
_atom_site_fract_y
_atom_site_fract_z
Pm1 0.0000 0.0000 0.0000
Cd1 0.0000 0.0000 0.5000
Ir1 0.2500 0.2500 0.7500
Pd1 0.2500 0.2500 0.2500
```



Entry 2:
Here is a relaxed structure of CdSb2IrPd from Alexandria via LeMat-Bulk. Energies are from PBE-GGA.

Output
Its total energy is -3.8224 eV per atom. As for the formation energy from raw total energies: 820 meV/atom.

Structure (CIF):
```
data_CdSb2IrPd
_chemical_formula_sum 'Cd1 Sb2 Ir1 Pd1'
_space_group_name_H-M_alt 'P 4/m m m'
_space_group_IT_number 123
_space_group_name_Hall '-P 4 2'
_cell_length_a 5.0313
_cell_length_b 5.0313
_cell_length_c 5.0990
_cell_angle_alpha 90.00
_cell_angle_beta 90.00
_cell_angle_gamma 90.00
loop_
_atom_site_label
_atom_site_fract_x
_atom_site_fract_y
_atom_site_fract_z
Cd1 0.0000 0.0000 0.0000
Sb1 0.0000 0.5000 0.5000
Ir1 0.5000 0.5000 0.0000
Pd1 0.5000 0.5000 0.5000
```



Entry 3:
Here is a relaxed structure of CdIrPd2Se from Alexandria via LeMat-Bulk. Energies are from PBE-GGA.

Output
Its total energy is -3.8405 eV per atom. As for the formation energy from raw total energies: 889 meV/atom.

Structure (CIF):
```
data_CdIrPd2Se
_chemical_formula_sum 'Cd1 Ir1 Pd2 Se1'
_space_group_name_H-M_alt 'P 4/m m m'
_space_group_IT_number 123
_space_group_name_Hall '-P 4 2'
_cell_length_a 4.6068
_cell_length_b 4.6068
_cell_length_c 4.9683
_cell_angle_alpha 90.00
_cell_angle_beta 90.00
_cell_angle_gamma 90.00
loop_
_atom_site_label
_atom_site_fract_x
_atom_site_fract_y
_atom_site_fract_z
Cd1 0.0000 0.0000 0.0000
Ir1 0.5000 0.5000 0.0000
Pd1 0.0000 0.5000 0.5000
Se1 0.0000 0.0000 0.5000
```



Entry 4:
Here is a relaxed structure of SmCdIrPd from Alexandria via LeMat-Bulk. Energies are from PBE-GGA.

Output
Its total energy is -5.3835 eV per atom. The calculation puts the calculated formation energy at -461 meV/atom.

Structure (CIF):
```
data_SmCdIrPd
_chemical_formula_sum 'Sm4 Cd4 Ir4 Pd4'
_space_group_name_H-M_alt 'F -4 3 m'
_space_group_IT_number 216
_space_group_name_Hall 'F -4 2 3'
_cell_length_a 6.8029
_cell_length_b 6.8029
_cell_length_c 6.8029
_cell_angle_alpha 90.00
_cell_angle_beta 90.00
_cell_angle_gamma 90.00
loop_
_atom_site_label
_atom_site_fract_x
_atom_site_fract_y
_atom_site_fract_z
Sm1 0.0000 0.0000 0.0000
Cd1 0.0000 0.0000 0.5000
Ir1 0.2500 0.2500 0.7500
Pd1 0.2500 0.2500 0.2500
```